# 1
K4Ag18Te11 | meta-GGA SCAN | PBEsol geometry

abc: 18.465 18.465 18.465
angles: 90.00 90.00 90.00
Space group Fm-3m (No. 225)
Asymmetric unit:
K: 0.000 0.000 0.000 x4
K: 0.000 0.000 0.233 x24
K: 0.000 0.000 0.500 x4
Ag: 0.000 0.193 0.193 x48
Ag: 0.133 0.133 0.257 x96
Te: 0.000 0.157 0.343 x48
Te: 0.109 0.109 0.109 x32
Te: 0.250 0.250 0.250 x8

Output
- ΔE_f (raw): -338 meV/atom
- Density of states at the Fermi level: 56.550 states/eV per cell
- Electronic total energy: -30.874 eV/atom

---

# 2
CrBBr3 | meta-GGA SCAN | PBEsol geometry

abc: 4.669 4.669 4.669
angles: 90.00 90.00 90.00
Space group Pm-3m (No. 221)
Asymmetric unit:
Cr: 0.000 0.000 0.000 x1
B: 0.500 0.500 0.500 x1
Br: 0.000 0.500 0.500 x3

Output
- ΔE_f (raw): 479 meV/atom
- Density of states at the Fermi level: 5.488 states/eV per cell
- Electronic total energy: -16.359 eV/atom